Record 1
Density functional theory data (PBE) for In2HgRh after structural relaxation.

Output
Space group: C2/m
Formation enthalpy at 0 K: 0.03 eV per atom
D(E_F): 0.5454 states/eV per atom
V: 82.5 Å³ per cell
Total DFT energy (no corrections): -3.257 eV/atom
Magnetization: 0.00 μB/f.u.
Theoretical density: 10.7 g/cm³

Cell lengths 4.9630, 4.9630, 5.3462 Å; angles 101.50, 101.50, 39.85 degrees
Sites, in units of the cell vectors:
In 0.2354 0.2354 0.2238
In 0.7646 0.7646 0.7762
Hg 0.0000 0.0000 0.5000
Rh 0.5000 0.5000 0.0000


Record 2
Density functional theory data (PBE) for In4HgRh after structural relaxation.

Output
Space group: F-43m
Formation enthalpy at 0 K: 0.41 eV per atom
Excess energy over the best structure of this formula in the dataset: 560.1 meV/atom
D(E_F): 0.6312 states/eV per atom
V: 145.7 Å³ per cell
Total DFT energy (no corrections): -2.693 eV/atom
Magnetization: 0.00 μB/f.u.
Theoretical density: 8.7 g/cm³

Cell lengths 5.9066, 5.9066, 5.9066 Å; angles 60.00, 60.00, 60.00 degrees
Sites, in units of the cell vectors:
In 0.1245 0.1245 0.1245
In 0.1245 0.1245 0.6266
In 0.1245 0.6266 0.1245
In 0.6266 0.1245 0.1245
Hg 0.5000 0.5000 0.5000
Rh 0.7500 0.7500 0.7500


Record 3
Density functional theory data (PBE) for InHg2Rh after structural relaxation.

Output
Space group: Cmmm
Formation enthalpy at 0 K: 0.14 eV per atom
D(E_F): 0.6193 states/eV per atom
V: 81.0 Å³ per cell
Total DFT energy (no corrections): -2.530 eV/atom
Magnetization: 0.00 μB/f.u.
Theoretical density: 12.7 g/cm³

Cell lengths 5.0471, 5.0471, 3.4114 Å; angles 90.00, 90.00, 111.16 degrees
Sites, in units of the cell vectors:
In 0.0000 0.0000 0.0000
Hg 0.0000 0.5000 0.5000
Hg 0.5000 0.0000 0.5000
Rh 0.5000 0.5000 0.0000


Record 4
Density functional theory data (PBE) for InHgSb2Rh after structural relaxation.

Output
Space group: P4/mmm
D(E_F): 0.7011 states/eV per atom
V: 159.1 Å³ per cell
Total DFT energy (no corrections): -2.577 eV/atom
ΔE_f (raw): 1.150 eV/atom
Magnetization: 0.00 μB/f.u.
Theoretical density: 6.9 g/cm³

Cell lengths 5.4848, 5.4848, 5.2893 Å; angles 90.00, 90.00, 90.00 degrees
Sites, in units of the cell vectors:
In 0.0000 0.0000 0.0000
Hg 0.0000 0.0000 0.5000
Sb 0.0000 0.5000 0.5000
Sb 0.5000 0.0000 0.5000
Rh 0.5000 0.5000 0.0000


Record 5
Density functional theory data (PBE) for Sc5In2HgRh2 after structural relaxation.

Output
Space group: P4/mbm
Formation enthalpy at 0 K: -0.59 eV per atom
D(E_F): 0.7193 states/eV per atom
V: 430.4 Å³ per cell
Total DFT energy (no corrections): -5.800 eV/atom
Magnetization: 0.00 μB/f.u.
Theoretical density: 6.6 g/cm³

Cell lengths 11.2636, 11.2636, 3.3928 Å; angles 90.00, 90.00, 90.00 degrees
Sites, in units of the cell vectors:
Sc 0.0000 0.5000 0.0000
Sc 0.0762 0.2040 0.0000
Sc 0.2040 0.9238 0.0000
Sc 0.2960 0.4238 0.0000
Sc 0.4238 0.7040 0.0000
Sc 0.5000 0.0000 0.0000
Sc 0.5762 0.2960 0.0000
Sc 0.7040 0.5762 0.0000
Sc 0.7960 0.0762 0.0000
Sc 0.9238 0.7960 0.0000
In 0.1715 0.6715 0.5000
In 0.3285 0.1715 0.5000
In 0.6715 0.8285 0.5000
In 0.8285 0.3285 0.5000
Hg 0.0000 0.0000 0.5000
Hg 0.5000 0.5000 0.5000
Rh 0.1314 0.3686 0.5000
Rh 0.3686 0.8686 0.5000
Rh 0.6314 0.1314 0.5000
Rh 0.8686 0.6314 0.5000


Record 6
Density functional theory data (PBE) for SmInHgRh after structural relaxation.

Output
Space group: F-43m
Formation enthalpy at 0 K: -0.39 eV per atom
D(E_F): 0.6533 states/eV per atom
V: 87.2 Å³ per cell
Total DFT energy (no corrections): -4.172 eV/atom
Magnetization: 0.00 μB/f.u.
Theoretical density: 10.8 g/cm³

Cell lengths 4.9772, 4.9772, 4.9772 Å; angles 60.00, 60.00, 60.00 degrees
Sites, in units of the cell vectors:
Sm 0.0000 0.0000 0.0000
In 0.5000 0.5000 0.5000
Hg 0.2500 0.2500 0.2500
Rh 0.7500 0.7500 0.7500


Record 7
Density functional theory data (PBE) for Sm4InHg2Rh after structural relaxation.

Output
Space group: R-3m
Formation enthalpy at 0 K: -0.54 eV per atom
D(E_F): 0.7940 states/eV per atom
V: 207.1 Å³ per cell
Total DFT energy (no corrections): -4.233 eV/atom
Magnetization: 0.00 μB/f.u.
Theoretical density: 9.8 g/cm³

Cell lengths 9.0499, 9.0499, 9.0499 Å; angles 34.05, 34.05, 34.05 degrees
Sites, in units of the cell vectors:
Sm 0.1132 0.1132 0.1132
Sm 0.3675 0.3675 0.3675
Sm 0.6325 0.6325 0.6325
Sm 0.8868 0.8868 0.8868
In 0.5000 0.5000 0.5000
Hg 0.2395 0.2395 0.2395
Hg 0.7605 0.7605 0.7605
Rh 0.0000 0.0000 0.0000


Record 8
Density functional theory data (PBE) for Sm3In3Hg2Rh after structural relaxation.

Output
Space group: P-62m
Formation enthalpy at 0 K: -0.57 eV per atom
D(E_F): 0.6983 states/eV per atom
V: 222.5 Å³ per cell
Total DFT energy (no corrections): -3.940 eV/atom
Magnetization: 0.00 μB/f.u.
Theoretical density: 9.7 g/cm³

Cell lengths 7.7758, 7.7758, 4.2497 Å; angles 90.00, 90.00, 120.00 degrees
Sites, in units of the cell vectors:
Sm 0.0000 0.6066 0.0000
Sm 0.3934 0.3934 0.0000
Sm 0.6066 0.0000 0.0000
In 0.0000 0.2407 0.5000
In 0.2407 0.0000 0.5000
In 0.7593 0.7593 0.5000
Hg 0.3333 0.6667 0.5000
Hg 0.6667 0.3333 0.5000
Rh 0.0000 0.0000 0.0000


Record 9
Density functional theory data (PBE) for Sr2InHgRh after structural relaxation.

Output
Space group: P4/mmm
Formation enthalpy at 0 K: 0.19 eV per atom
Excess energy over the best structure of this formula in the dataset: 529.6 meV/atom
D(E_F): 0.7697 states/eV per atom
V: 182.5 Å³ per cell
Total DFT energy (no corrections): -2.565 eV/atom
Magnetization: 0.00 μB/f.u.
Theoretical density: 5.4 g/cm³

Cell lengths 6.0101, 6.0101, 5.0513 Å; angles 90.00, 90.00, 90.00 degrees
Sites, in units of the cell vectors:
Sr 0.0000 0.5000 0.0000
Sr 0.5000 0.0000 0.0000
In 0.0000 0.0000 0.5000
Hg 0.5000 0.5000 0.0000
Rh 0.5000 0.5000 0.5000


Record 10
Density functional theory data (PBE) for SrInHg2Rh after structural relaxation.

Output
Space group: P4/mmm
Formation enthalpy at 0 K: -0.25 eV per atom
D(E_F): 0.5725 states/eV per atom
V: 142.4 Å³ per cell
Total DFT energy (no corrections): -2.725 eV/atom
Magnetization: 0.00 μB/f.u.
Theoretical density: 8.2 g/cm³

Cell lengths 5.2954, 5.2954, 5.0796 Å; angles 90.00, 90.00, 90.00 degrees
Sites, in units of the cell vectors:
Sr 0.0000 0.0000 0.0000
In 0.5000 0.5000 0.0000
Hg 0.0000 0.5000 0.5000
Hg 0.5000 0.0000 0.5000
Rh 0.5000 0.5000 0.5000